# 1
VASP calculation (PBE-GGA) on crystalline BPd2BrF at its relaxed geometry.

Output
As for the symmetry: P4/mmm (123). The crystal system is tetragonal. The total DFT energy (no corrections) is -3.08 eV/atom. The density of states at the Fermi level is 3.173 states/eV per cell.

```
BPd2BrF
1.0
-0.8081 4.3901 -1.8229
-3.1045 -1.5508 -2.3585
-3.1414 0.8945 3.5469
Pd B F Br
2 1 1 1
Cartesian
-1.5707 0.4473 1.7734 Pd
-0.4041 2.1950 -0.9115 Pd
-1.5522 -0.7754 -1.1792 B
-3.5270 1.8669 -0.3173 F
0.0000 0.0000 0.0000 Br
```

# 2
VASP calculation (PBE-GGA) on crystalline TlSiSb2I at its relaxed geometry.

Output
As for the symmetry: P4/mmm (123). The crystal system is tetragonal. The total DFT energy (no corrections) is -2.36 eV/atom. The density of states at the Fermi level is 7.761 states/eV per cell. For the distance to the lowest polymorph of the same formula, the calculation gives 795 meV/atom.

```
TlSiSb2I
1.0
5.7002 0.0000 0.0000
0.0000 5.7002 0.0000
0.0000 0.0000 5.9778
I Tl Sb Si
1 1 2 1
Cartesian
0.0000 0.0000 2.9889 I
0.0000 0.0000 0.0000 Tl
2.8501 0.0000 0.0000 Sb
0.0000 2.8501 0.0000 Sb
2.8501 2.8501 2.9889 Si
```

# 3
VASP calculation (PBE-GGA) on crystalline LaMoRu2 at its relaxed geometry.

Output
The value obtained for the formation energy is 0.550 eV/atom. As for the symmetry: Pmmm (47). The crystal system is orthorhombic. The total DFT energy (no corrections) is -8.03 eV/atom. The density of states at the Fermi level is 6.228 states/eV per cell. For the distance to the lowest polymorph of the same formula, the calculation gives 498 meV/atom.

```
LaMoRu2
1.0
-0.8405 3.2338 0.3518
-4.7478 -1.1596 -0.6840
-0.4764 -0.5929 4.3118
La Ru Mo
1 2 1
Cartesian
-0.6584 1.3204 2.3318 La
-2.7942 1.0371 -0.1661 Ru
0.0000 0.0000 0.0000 Ru
-2.6121 -0.8763 1.8139 Mo
```

# 4
VASP calculation (PBE-GGA) on crystalline MnZnCuIr at its relaxed geometry.

Output
The value obtained for the formation energy is -0.082 eV/atom. As for the symmetry: F-43m (216). The crystal system is cubic. The total DFT energy (no corrections) is -5.93 eV/atom. The density of states at the Fermi level is 2.190 states/eV per cell.

```
MnZnCuIr
1.0
-1.5986 -1.6809 -3.5760
2.5791 -0.8905 -3.2748
0.8400 -4.0550 -1.0098
Mn Cu Zn Ir
1 1 1 1
Cartesian
0.0000 0.0000 0.0000 Mn
0.4551 -1.6566 -1.9651 Cu
0.9102 -3.3132 -3.9303 Zn
1.3653 -4.9698 -5.8954 Ir
```

# 5
VASP calculation (PBE-GGA) on crystalline YZr2Br at its relaxed geometry.

Output
As for the symmetry: I4/mmm (139). The crystal system is tetragonal. The total DFT energy (no corrections) is -6.21 eV/atom. The density of states at the Fermi level is 6.510 states/eV per cell. For the distance to the lowest polymorph of the same formula, the calculation gives 419 meV/atom.

```
YZr2Br
1.0
6.4674 0.0062 0.0000
3.7936 5.2379 0.0000
-5.1305 -2.6221 2.9377
Y Zr Br
1 2 1
Cartesian
3.2337 0.0031 1.4688 Y
5.1305 2.6221 0.0000 Zr
0.0000 0.0000 0.0000 Zr
1.8968 2.6189 1.4688 Br
```

# 6
VASP calculation (PBE-GGA) on crystalline Tl5HgBr8 at its relaxed geometry.

Output
As for the symmetry: F-43m (216). The crystal system is cubic. The total DFT energy (no corrections) is -2.51 eV/atom. The density of states at the Fermi level is 5.625 states/eV per cell. For the distance to the lowest polymorph of the same formula, the calculation gives 0 meV/atom.

```
Tl5HgBr8
1.0
9.3306 0.0000 0.0000
4.6653 8.0805 0.0000
4.6653 2.6935 7.6184
Br Tl Hg
8 5 1
Cartesian
11.7937 3.9649 2.8036 Br
11.6948 9.4091 6.6532 Br
9.3306 8.2312 2.8036 Br
6.8675 3.9649 2.8036 Br
9.3306 5.3870 6.8259 Br
13.9959 5.4234 6.6532 Br
16.2970 9.4091 6.6532 Br
13.9959 8.0805 2.8955 Br
11.6293 6.7142 4.7476 Tl
0.0000 0.0000 0.0000 Tl
9.3306 5.3870 0.9939 Tl
9.3306 2.7327 4.7476 Tl
7.0319 6.7142 4.7476 Tl
4.6653 2.6935 1.9046 Hg
```

# 7
VASP calculation (PBE-GGA) on crystalline PrY2Hf at its relaxed geometry.

Output
The value obtained for the formation energy is 0.233 eV/atom. As for the symmetry: P4/mmm (123). The crystal system is tetragonal. The total DFT energy (no corrections) is -6.68 eV/atom. The density of states at the Fermi level is 8.998 states/eV per cell. For the distance to the lowest polymorph of the same formula, the calculation gives 102 meV/atom.

```
PrY2Hf
1.0
-0.3027 -2.7846 2.8462
3.8631 -0.8971 -0.4669
1.8542 5.2227 5.3067
Y Pr Hf
2 1 1
Cartesian
1.4569 4.1036 4.1696 Y
0.3973 1.1191 1.1371 Y
2.7073 0.7705 3.8430 Pr
1.7802 -1.8408 1.1897 Hf
```

# 8
VASP calculation (PBE-GGA) on crystalline SrSc4Ir at its relaxed geometry.

Output
The value obtained for the formation energy is 0.453 eV/atom. As for the symmetry: F-43m (216). The crystal system is cubic. The total DFT energy (no corrections) is -5.53 eV/atom. The density of states at the Fermi level is 8.922 states/eV per cell.

```
SrSc4Ir
1.0
4.2305 -1.5625 -3.7878
4.1270 -3.8731 1.6285
0.0300 -5.4172 -2.3105
Sc Sr Ir
4 1 1
Cartesian
5.2819 -4.8396 -3.5968 Sc
5.2291 -6.0180 -0.8344 Sc
3.1243 -4.0427 -1.6650 Sc
3.1396 -6.8055 -2.8433 Sc
6.2906 -8.1396 -3.3523 Sr
0.0000 0.0000 0.0000 Ir
```

> Among the records above, which one has the highest total DFT energy (no corrections)?

TlSiSb2I

> What is the total DFT energy (no corrections) in the seventh record?

-6.68 eV/atom

> What is the formula in the third record?

LaMoRu2

Please write out number 5 again, unchanged.
VASP calculation (PBE-GGA) on crystalline YZr2Br at its relaxed geometry.

Output
As for the symmetry: I4/mmm (139). The crystal system is tetragonal. The total DFT energy (no corrections) is -6.21 eV/atom. The density of states at the Fermi level is 6.510 states/eV per cell. For the distance to the lowest polymorph of the same formula, the calculation gives 419 meV/atom.

```
YZr2Br
1.0
6.4674 0.0062 0.0000
3.7936 5.2379 0.0000
-5.1305 -2.6221 2.9377
Y Zr Br
1 2 1
Cartesian
3.2337 0.0031 1.4688 Y
5.1305 2.6221 0.0000 Zr
0.0000 0.0000 0.0000 Zr
1.8968 2.6189 1.4688 Br
```